[1]
Computed, not measured: a relaxed Zr2Sn2H crystal at the PBE level of DFT.

The structure in extended XYZ format:
```
10
Lattice="-4.160 -4.363 1.822 4.211 -4.522 -1.213 1.739 0.338 4.778" Properties=species:S:1:pos:R:3 pbc="T T T"
H 0.000 0.000 0.000
Zr 2.984 -3.581 1.884
Sn -2.072 -3.655 1.012
Sn -0.666 -6.650 0.712
Sn 2.123 -5.230 -0.403
Zr -1.194 -4.966 3.502
Zr 0.192 -2.039 2.791
Zr 1.598 -6.508 2.595
H 0.026 -4.442 0.305
Sn 0.717 -2.235 -0.103
```

raw total energy	-5.499	eV per atom
relative energy among the computed polymorphs	0.532	eV per atom

***

[2]
Computed, not measured: a relaxed PrCdGa crystal at the PBE level of DFT.

The structure in extended XYZ format:
```
3
Lattice="3.544 0.000 0.000 0.000 3.544 0.000 -1.772 -1.772 5.907" Properties=species:S:1:pos:R:3 pbc="T T T"
Pr 0.000 0.000 0.091
Ga 1.772 1.772 2.114
Cd 0.000 0.000 3.702
```

raw total energy	-3.206	eV per atom
formation energy from the elements	-0.30	eV per atom

***

[3]
Computed, not measured: a relaxed MgAgMo2 crystal at the PBE level of DFT.

The structure in extended XYZ format:
```
4
Lattice="-4.230 -0.214 -0.644 -0.382 -0.482 2.671 -0.682 5.412 2.678" Properties=species:S:1:pos:R:3 pbc="T T T"
Mo -2.339 1.005 0.780
Mg -2.925 3.538 3.788
Mo -0.026 0.102 0.138
Ag -0.535 2.536 2.673
```

raw total energy	-6.247	eV per atom
formation energy from the elements	0.28	eV per atom

***

[4]
Computed, not measured: a relaxed ScMn2Ir2 crystal at the PBE level of DFT.

The structure in extended XYZ format:
```
10
Lattice="-4.985 2.479 4.629 -0.727 -6.647 2.776 1.952 0.543 1.811" Properties=species:S:1:pos:R:3 pbc="T T T"
Ir -3.361 0.165 5.612
Mn -0.855 -2.270 1.602
Ir -0.399 -3.790 3.605
Ir -2.997 -3.521 6.324
Sc 0.000 0.000 0.000
Mn -4.857 -1.898 5.803
Sc -2.856 -2.084 3.703
Ir -0.763 -0.104 2.892
Mn -3.152 0.758 3.169
Mn -2.560 -4.926 4.236
```

raw total energy	-8.735	eV per atom
formation energy from the elements	-0.26	eV per atom
relative energy among the computed polymorphs	0.000	eV per atom

***

[5]
Computed, not measured: a relaxed VAsHPd2 crystal at the PBE level of DFT.

The structure in extended XYZ format:
```
5
Lattice="-2.741 -2.646 -0.666 1.956 -2.564 2.135 -2.091 1.292 3.468" Properties=species:S:1:pos:R:3 pbc="T T T"
As -1.438 -1.959 2.468
H 0.000 0.000 0.000
Pd -1.370 -1.323 -0.333
Pd 0.978 -1.282 1.067
V -1.046 0.646 1.734
```

raw total energy	-5.656	eV per atom

***

[6]
Computed, not measured: a relaxed La17Al4Si9N33 crystal at the PBE level of DFT.

The structure in extended XYZ format:
```
63
Lattice="10.922 0.000 0.000 5.461 9.459 0.000 5.461 3.153 8.918" Properties=species:S:1:pos:R:3 pbc="T T T"
La 5.461 5.770 4.080
N 12.492 10.017 8.874
Al 1.547 0.893 0.631
La 3.194 4.462 0.379
N 5.461 1.509 2.811
N 12.533 3.735 4.382
N 17.846 5.810 8.874
N 10.922 4.664 7.012
Al 9.376 0.893 0.631
N 12.492 11.705 6.486
N 20.274 10.017 8.874
La 7.728 4.462 0.379
N 14.921 5.810 8.874
La 5.461 0.536 0.379
N 12.344 7.127 7.012
La 3.194 1.844 4.080
La 13.567 4.779 6.618
Al 5.461 7.673 0.631
La 7.728 1.844 4.080
La 8.278 7.833 2.300
N 9.501 7.127 7.012
La 7.363 8.361 5.912
Si 5.461 3.153 2.229
N 16.383 9.459 4.820
N 14.858 10.340 7.311
La 10.922 6.306 0.100
N 17.846 10.303 2.520
N 9.501 8.986 4.382
N 0.000 0.000 0.000
N 18.812 12.550 8.874
Si 13.480 4.829 3.415
La 10.922 2.196 5.912
N 10.922 8.166 2.060
N 20.274 11.705 6.486
N 16.383 4.966 6.486
N 16.383 7.697 7.311
N 9.312 3.735 4.382
N 6.885 3.975 2.811
N 7.890 6.197 4.382
N 14.921 10.303 2.520
La 10.922 6.306 4.459
N 13.954 6.197 4.382
N 4.037 3.975 2.811
Si 19.327 11.158 7.890
N 17.909 10.340 7.311
Al 5.461 3.153 7.024
Si 16.383 9.459 3.083
N 16.383 7.770 2.520
N 5.461 3.153 0.486
Si 8.365 4.829 3.415
La 8.278 4.779 6.618
N 12.344 8.986 4.382
N 13.955 12.550 8.874
La 10.922 3.252 2.300
La 14.482 8.361 5.912
La 10.922 9.359 6.618
Si 10.922 9.259 3.415
Si 16.383 6.060 7.890
N 9.312 5.376 2.060
N 12.533 5.376 2.060
Si 13.440 11.158 7.890
La 13.567 7.833 2.300
Si 10.922 6.306 7.591
```

formation energy (no corrections)	-1.38	eV/atom
raw total energy	-8.083	eV per atom

***

[7]
Computed, not measured: a relaxed USnRh crystal at the PBE level of DFT.

The structure in extended XYZ format:
```
3
Lattice="3.249 0.000 0.000 0.000 3.249 0.000 -1.624 -1.624 5.790" Properties=species:S:1:pos:R:3 pbc="T T T"
U 0.000 0.000 3.652
Sn 0.000 0.000 0.208
Rh 1.624 1.624 1.930
```

raw total energy	-7.850	eV per atom
formation energy from the elements	-0.30	eV per atom

***

[8]
Computed, not measured: a relaxed Ti4Mo2As crystal at the PBE level of DFT.

The structure in extended XYZ format:
```
7
Lattice="4.634 0.000 0.000 0.000 4.634 0.000 2.317 2.317 6.309" Properties=species:S:1:pos:R:3 pbc="T T T"
Ti 2.317 2.317 3.816
Mo 4.634 4.634 4.818
Ti 2.317 0.000 0.000
Ti 4.634 4.634 2.493
As 0.000 0.000 0.000
Mo 2.317 2.317 1.490
Ti 0.000 2.317 0.000
```

raw total energy	-7.689	eV per atom
formation energy from the elements	0.58	eV per atom